Entry from the Alexandria database: Li2CrF5 after structural relaxation (PBE with a Hubbard U).

For the total energy, the calculation gives -5.4371 eV/atom. For the total moment, the calculation gives 12.00 μB/cell. Its calculated volume is 12.408 A^3/atom.

Lattice parameters (Å, degrees): 3.856 10.200 10.095 90.00 90.00 90.00
Space group Cmcm (No. 63)
Inequivalent atoms, fractional coordinates:
Li 0.000 0.120 0.068 [8 per cell]
Cr 0.000 0.195 0.750 [4 per cell]
F 0.000 0.062 0.615 [8 per cell]
F 0.000 0.281 0.250 [4 per cell]
F 0.000 0.323 0.606 [8 per cell]